a | DFT (PBE) results for Pm3YBi2 after structural relaxation.

As for the space group: P-4m2 (115). The spin magnetization comes out at 0.0 μB per formula unit.

The structure in POSCAR format:
```
Pm3YBi2
1.0
-0.646 -4.164 -1.922
3.994 -1.465 1.833
-4.324 -2.686 7.274
Pm Y Bi
3 1 2
direct
0.500 0.000 0.351
0.000 0.500 0.649
0.000 0.000 0.000
0.500 0.500 0.000
0.500 0.000 0.721
0.000 0.500 0.279
```

b | DFT (PBE) results for Pm3YBi2 after structural relaxation.

As for the space group: Ibam (72). The spin magnetization comes out at 0.7 μB per formula unit.

The structure in POSCAR format:
```
Pm3YBi2
1.0
7.159 0.000 0.000
0.000 8.019 0.000
-3.579 -4.009 7.471
Pm Y Bi
6 2 4
direct
0.500 0.250 0.000
0.500 0.750 0.000
0.797 0.047 0.594
0.203 0.453 0.406
0.203 0.953 0.406
0.797 0.547 0.594
0.000 0.500 0.000
0.000 0.000 0.000
0.520 0.353 0.706
0.814 0.147 0.294
0.186 0.853 0.706
0.480 0.647 0.294
```

Short version: a is the most stable of them.

a | DFT (PBE) results for PmYBi2 after structural relaxation.

As for the space group: P4/mmm (123). The spin magnetization comes out at 0.1 μB per formula unit.

The structure in POSCAR format:
```
PmYBi2
1.0
4.048 0.000 0.000
0.000 5.478 0.000
0.000 0.000 5.478
Y Bi Pm
1 2 1
direct
0.500 0.500 0.500
0.000 0.000 0.500
0.000 0.500 0.000
0.500 0.000 0.000
```

b | DFT (PBE) results for PmYBi2 after structural relaxation.

As for the space group: R3m (160). The spin magnetization comes out at 0.0 μB per formula unit.

The structure in POSCAR format:
```
PmYBi2
1.0
4.501 0.000 0.000
2.251 3.898 0.000
2.251 1.299 7.691
Pm Y Bi
1 1 2
direct
0.669 0.669 0.993
0.498 0.498 0.506
0.084 0.084 0.749
0.249 0.249 0.252
```

c | DFT (PBE) results for PmYBi2 after structural relaxation.

As for the space group: Fm-3m (225). The spin magnetization comes out at 0.0 μB per formula unit.

The structure in POSCAR format:
```
PmYBi2
1.0
-1.601 -4.457 2.911
1.831 -0.730 5.198
-3.492 0.586 4.285
Y Bi Pm
1 2 1
direct
0.500 0.500 0.500
0.250 0.250 0.250
0.750 0.750 0.750
0.000 0.000 0.000
```

Short version: b is the most stable of them.

a | DFT (PBE) results for PmYBi2 after structural relaxation.

As for the space group: P6_3/mmc (194). The spin magnetization comes out at 0.0 μB per formula unit.

The structure in POSCAR format:
```
PmYBi2
1.0
-3.981 0.172 2.141
0.582 -2.846 -3.467
4.644 -10.609 9.490
Pm Y Bi
2 2 4
direct
0.000 0.000 0.500
0.000 0.000 0.000
0.667 0.333 0.250
0.333 0.667 0.750
0.333 0.667 0.375
0.667 0.333 0.875
0.667 0.333 0.625
0.333 0.667 0.125
```

b | DFT (PBE) results for PmYBi2 after structural relaxation.

As for the space group: C2/m (12). The spin magnetization comes out at 0.0 μB per formula unit.

The structure in POSCAR format:
```
PmYBi2
1.0
-1.105 3.585 -2.546
-2.577 -0.553 -3.689
-7.302 2.045 1.998
Pm Y Bi
1 1 2
direct
0.500 0.500 0.500
0.000 0.000 0.000
0.748 0.748 0.756
0.252 0.252 0.244
```

Short version: b is the most stable of them.